Material: Ta2Ni21B6
Method: DFT, meta-GGA SCAN
State: single point on PBEsol structure

Unit cell a=7.3515 b=7.3515 c=7.3515 alpha=60.00 beta=60.00 gamma=60.00
Atoms (fractional coordinates):
Ta1 0.7500 0.7500 0.7500
Ta2 0.2500 0.2500 0.2500
Ni1 0.0000 0.0000 0.0000
Ni2 0.6157 0.1528 0.6157
Ni3 0.6157 0.6157 0.1528
Ni4 0.6157 0.6157 0.6157
Ni5 0.1528 0.6157 0.6157
Ni6 0.3843 0.8472 0.3843
Ni7 0.3843 0.3843 0.8472
Ni8 0.3843 0.3843 0.3843
Ni9 0.8472 0.3843 0.3843
Ni10 0.6592 0.3408 0.0000
Ni11 0.0000 0.3408 0.0000
Ni12 0.0000 0.3408 0.6592
Ni13 0.0000 0.0000 0.3408
Ni14 0.6592 0.0000 0.3408
Ni15 0.0000 0.6592 0.3408
Ni16 0.0000 0.0000 0.6592
Ni17 0.0000 0.6592 0.0000
Ni18 0.6592 0.0000 0.0000
Ni19 0.3408 0.6592 0.0000
Ni20 0.3408 0.0000 0.6592
Ni21 0.3408 0.0000 0.0000
B1 0.2677 0.2677 0.7323
B2 0.7323 0.2677 0.7323
B3 0.7323 0.2677 0.2677
B4 0.7323 0.7323 0.2677
B5 0.2677 0.7323 0.2677
B6 0.2677 0.7323 0.7323

Computed properties:
- SG = Fm-3m
- N(E_F) (states/eV per cell) = 19.4
- volume (Å³ per cell) = 280.9
- size of the total moment (μB per cell) = 0.0
- energy of formation (kJ per mole of atoms) = -31.51
- density (Mg/m³) = 9.81

=====

Material: TaNiB2
Method: DFT, meta-GGA SCAN
State: single point on PBEsol structure

Unit cell a=3.1018 b=5.9761 c=8.1093 alpha=90.00 beta=90.00 gamma=90.00
Atoms (fractional coordinates):
Ta1 0.7500 0.3671 0.6328
Ta2 0.2500 0.6329 0.3672
Ta3 0.7500 0.8671 0.8672
Ta4 0.2500 0.1329 0.1328
Ni1 0.2500 0.0006 0.6158
Ni2 0.2500 0.5006 0.8842
Ni3 0.7500 0.9994 0.3842
Ni4 0.7500 0.4994 0.1158
B1 0.7500 0.3283 0.3316
B2 0.2500 0.6717 0.6684
B3 0.7500 0.8283 0.1684
B4 0.2500 0.1717 0.8316
B5 0.7500 0.2592 0.9244
B6 0.2500 0.2408 0.4244
B7 0.7500 0.7592 0.5756
B8 0.2500 0.7408 0.0756

Computed properties:
- SG = Pnma
- N(E_F) (states/eV per cell) = 3.8
- volume (Å³ per cell) = 150.3
- size of the total moment (μB per cell) = 0.0
- energy of formation (kJ per mole of atoms) = -61.53
- density (Mg/m³) = 11.54

=====

Material: Ta2NiB2
Method: DFT, meta-GGA SCAN
State: single point on PBEsol structure

Unit cell a=3.3049 b=5.7692 c=5.7692 alpha=90.00 beta=90.00 gamma=90.00
Atoms (fractional coordinates):
Ni1 0.0000 0.0000 0.0000
Ni2 0.0000 0.5000 0.5000
B1 0.0000 0.3908 0.8908
B2 0.0000 0.8908 0.6092
B3 0.0000 0.6092 0.1092
B4 0.0000 0.1092 0.3908
Ta1 0.5000 0.1811 0.6811
Ta2 0.5000 0.6811 0.8189
Ta3 0.5000 0.8189 0.3189
Ta4 0.5000 0.3189 0.1811

Computed properties:
- SG = P4/mbm
- N(E_F) (states/eV per cell) = 4.8
- volume (Å³ per cell) = 110.0
- size of the total moment (μB per cell) = 0.0
- energy of formation (kJ per mole of atoms) = -60.98
- density (Mg/m³) = 13.35

=====

Material: TaNiB
Method: DFT, meta-GGA SCAN
State: single point on PBEsol structure

Unit cell a=3.0419 b=3.2613 c=6.7790 alpha=76.08 beta=90.00 gamma=90.00
Atoms (fractional coordinates):
Ni1 0.2500 0.7042 0.5916
Ni2 0.7500 0.2958 0.4084
B1 0.7500 0.4644 0.0711
B2 0.2500 0.5356 0.9289
Ta1 0.7500 0.0989 0.8022
Ta2 0.2500 0.9011 0.1978

Computed properties:
- SG = Cmcm
- N(E_F) (states/eV per cell) = 2.0
- volume (Å³ per cell) = 65.3
- size of the total moment (μB per cell) = 0.0
- energy of formation (kJ per mole of atoms) = -58.10
- density (Mg/m³) = 12.74

=====

Material: Ta3NiB
Method: DFT, meta-GGA SCAN
State: single point on PBEsol structure

Unit cell a=4.2467 b=4.2467 c=4.2467 alpha=90.00 beta=90.00 gamma=90.00
Atoms (fractional coordinates):
Ni1 0.5000 0.5000 0.5000
B1 0.0000 0.0000 0.0000
Ta1 0.0000 0.5000 0.0000
Ta2 0.0000 0.0000 0.5000
Ta3 0.5000 0.0000 0.0000

Computed properties:
- SG = Pm-3m
- N(E_F) (states/eV per cell) = 4.5
- distance to the lowest polymorph of the same formula (meV per atom) = 0
- volume (Å³ per cell) = 76.6
- size of the total moment (μB per cell) = 0.0
- energy of formation (kJ per mole of atoms) = 16.61
- density (Mg/m³) = 13.28

=====

Material: TbNiB4
Method: DFT, meta-GGA SCAN
State: single point on PBEsol structure

Unit cell a=6.7739 b=6.7739 c=6.7739 alpha=77.44 beta=66.96 gamma=113.04
Atoms (fractional coordinates):
Tb1 0.0000 0.7976 0.2024
Tb2 0.0000 0.2024 0.7976
Tb3 0.5000 0.2500 0.2500
Tb4 0.5000 0.7500 0.7500
Ni1 0.7723 0.5000 0.7277
Ni2 0.2277 0.5000 0.2723
Ni3 0.2277 0.7277 0.5000
Ni4 0.7723 0.2723 0.5000
B1 0.3885 0.1119 0.7235
B2 0.6115 0.8881 0.2765
B3 0.1646 0.8881 0.7235
B4 0.8354 0.1119 0.2765
B5 0.6115 0.7235 0.1119
B6 0.3885 0.2765 0.8881
B7 0.8354 0.7235 0.8881
B8 0.1646 0.2765 0.1119
B9 0.5358 0.1154 0.8846
B10 0.4642 0.5796 0.4204
B11 0.0000 0.8846 0.5796
B12 0.0000 0.4204 0.1154
B13 0.4642 0.8846 0.1154
B14 0.5358 0.4204 0.5796
B15 0.0000 0.5796 0.8846
B16 0.0000 0.1154 0.4204

Computed properties:
- SG = I4/mmm
- N(E_F) (states/eV per cell) = 6.1
- volume (Å³ per cell) = 236.7
- size of the total moment (μB per cell) = 0.0
- energy of formation (kJ per mole of atoms) = -61.92
- density (Mg/m³) = 7.32

=====

Material: Tb3Ni19B10
Method: DFT, meta-GGA SCAN
State: single point on PBEsol structure

Unit cell a=5.7080 b=7.8068 c=7.8068 alpha=67.10 beta=88.78 gamma=88.78
Atoms (fractional coordinates):
Tb1 0.0000 0.0000 0.0000
Tb2 0.6121 0.6258 0.6258
Tb3 0.3879 0.3742 0.3742
Ni1 0.5000 0.0000 0.0000
Ni2 0.1259 0.6222 0.6222
Ni3 0.8741 0.3778 0.3778
Ni4 0.2977 0.1624 0.1624
Ni5 0.7023 0.8376 0.8376
Ni6 0.7299 0.1831 0.1831
Ni7 0.2701 0.8169 0.8169
Ni8 0.3018 0.4825 0.9548
Ni9 0.3018 0.9548 0.4825
Ni10 0.6982 0.5175 0.0452
Ni11 0.6982 0.0452 0.5175
Ni12 0.0738 0.1220 0.6231
Ni13 0.0738 0.6231 0.1220
Ni14 0.9262 0.8780 0.3769
Ni15 0.9262 0.3769 0.8780
Ni16 0.3009 0.7715 0.2882
Ni17 0.3009 0.2882 0.7715
Ni18 0.6991 0.2285 0.7118
Ni19 0.6991 0.7118 0.2285
B1 0.0000 0.3836 0.6164
B2 0.0000 0.6164 0.3836
B3 0.9745 0.6494 0.8587
B4 0.9745 0.8587 0.6494
B5 0.0255 0.3506 0.1413
B6 0.0255 0.1413 0.3506
B7 0.5695 0.9361 0.2998
B8 0.5695 0.2998 0.9361
B9 0.4305 0.0639 0.7002
B10 0.4305 0.7002 0.0639

Computed properties:
- SG = C2/m
- N(E_F) (states/eV per cell) = 15.9
- volume (Å³ per cell) = 320.4
- size of the total moment (μB per cell) = 0.0
- energy of formation (kJ per mole of atoms) = -43.29
- density (Mg/m³) = 8.81

=====

Material: TbNi4B
Method: DFT, meta-GGA SCAN
State: single point on PBEsol structure

Unit cell a=4.9029 b=4.9029 c=6.8802 alpha=90.00 beta=90.00 gamma=120.00
Atoms (fractional coordinates):
Tb1 0.0000 0.0000 0.5000
Tb2 0.0000 0.0000 0.0000
Ni1 0.3333 0.6667 0.0000
Ni2 0.6667 0.3333 0.0000
Ni3 0.0000 0.5000 0.7096
Ni4 0.5000 0.5000 0.7096
Ni5 0.5000 0.0000 0.7096
Ni6 0.0000 0.5000 0.2904
Ni7 0.5000 0.5000 0.2904
Ni8 0.5000 0.0000 0.2904
B1 0.6667 0.3333 0.5000
B2 0.3333 0.6667 0.5000

Computed properties:
- SG = P6/mmm
- N(E_F) (states/eV per cell) = 3.5
- volume (Å³ per cell) = 143.2
- size of the total moment (μB per cell) = 0.0
- energy of formation (kJ per mole of atoms) = -47.23
- density (Mg/m³) = 9.38

=====

Material: TbNi2B2
Method: DFT, meta-GGA SCAN
State: single point on PBEsol structure

Unit cell a=4.9262 b=4.9262 c=6.0130 alpha=102.66 beta=104.09 gamma=115.81
Atoms (fractional coordinates):
Tb1 0.8697 0.1197 0.7500
Tb2 0.1303 0.8803 0.2500
Ni1 0.4793 0.5316 0.2003
Ni2 0.5207 0.4684 0.7997
Ni3 0.8313 0.2791 0.2997
Ni4 0.1687 0.7209 0.7003
B1 0.3195 0.5044 0.4752
B2 0.6805 0.4956 0.5248
B3 0.5292 0.8442 0.0248
B4 0.4708 0.1558 0.9752

Computed properties:
- SG = C2/c
- N(E_F) (states/eV per cell) = 4.5
- volume (Å³ per cell) = 118.2
- size of the total moment (μB per cell) = 0.0
- energy of formation (kJ per mole of atoms) = -57.56
- density (Mg/m³) = 8.37

=====

Material: Tb3Ni13B2
Method: DFT, meta-GGA SCAN
State: single point on PBEsol structure

Unit cell a=4.8679 b=4.8679 c=10.7795 alpha=90.00 beta=90.00 gamma=120.00
Each line ends with the local moment (μB).
Atoms (fractional coordinates):
Tb1 0.0000 0.0000 0.0000  -0.03
Tb2 0.0000 0.0000 0.6722  -0.10
Tb3 0.0000 0.0000 0.3278  -0.10
Ni1 0.0000 0.5000 0.5000  0.52
Ni2 0.5000 0.5000 0.5000  0.52
Ni3 0.5000 0.0000 0.5000  0.52
Ni4 0.3333 0.6667 0.6806  0.28
Ni5 0.6667 0.3333 0.6806  0.28
Ni6 0.6667 0.3333 0.3194  0.28
Ni7 0.3333 0.6667 0.3194  0.28
Ni8 0.0000 0.5000 0.8654  0.03
Ni9 0.5000 0.5000 0.8654  0.03
Ni10 0.5000 0.0000 0.8654  0.03
Ni11 0.0000 0.5000 0.1346  0.03
Ni12 0.5000 0.5000 0.1346  0.03
Ni13 0.5000 0.0000 0.1346  0.03
B1 0.3333 0.6667 0.0000  -0.01
B2 0.6667 0.3333 0.0000  -0.01

Computed properties:
- SG = P6/mmm
- N(E_F) (states/eV per cell) = 9.4
- volume (Å³ per cell) = 221.2
- size of the total moment (μB per cell) = 2.3
- energy of formation (kJ per mole of atoms) = -41.29
- density (Mg/m³) = 9.47

=====

Material: YTcNi2B
Method: DFT, meta-GGA SCAN
State: single point on PBEsol structure

Unit cell a=4.3392 b=4.3392 c=5.1687 alpha=90.00 beta=90.00 gamma=90.00
Each line ends with the local moment (μB).
Atoms (fractional coordinates):
Y1 0.0000 0.0000 0.5000  0.09
Ni1 0.0000 0.5000 0.0000  0.01
Ni2 0.5000 0.0000 0.0000  0.01
B1 0.5000 0.5000 0.5000  0.21
Tc1 0.0000 0.0000 0.0000  0.01

Computed properties:
- SG = P4/mmm
- N(E_F) (states/eV per cell) = 5.1
- volume (Å³ per cell) = 97.3
- size of the total moment (μB per cell) = 0.6
- energy of formation (kJ per mole of atoms) = 154.24
- density (Mg/m³) = 5.38

=====

Material: NiBTe2
Method: DFT, meta-GGA SCAN
State: single point on PBEsol structure

Unit cell a=5.5082 b=5.5082 c=6.5684 alpha=114.79 beta=114.79 gamma=90.00
Atoms (fractional coordinates):
Ni1 0.2500 0.7500 0.5000
Ni2 0.0000 0.0000 0.0000
B1 0.7500 0.2500 0.5000
B2 0.5000 0.5000 0.0000
Te1 0.8548 0.3750 0.2500
Te2 0.3952 0.8750 0.2500
Te3 0.6250 0.6048 0.7500
Te4 0.1250 0.1452 0.7500

Computed properties:
- SG = I-42d
- N(E_F) (states/eV per cell) = 5.3
- volume (Å³ per cell) = 160.5
- size of the total moment (μB per cell) = 0.0
- formation energy from raw total energies (eV/atom) = 0.176
- density (Mg/m³) = 6.72

=====

size of the total moment of number 6 (TbNiB4)?
0.0 μB per cell

=====

Which value of density does entry 4 give?
12.74 Mg/m³